# Y12As3C5 | the Alexandria database | PBE-GGA | optimized geometry
# N(E_F) (states/eV/cell): 90.0
# M_tot (μB per atom): 0.0000
# Raw total energy (eV/atom): -7.395
# Energy of formation (eV/f.u.): -10.27
data_Y12As3C5
_symmetry_space_group_name_H-M 'I a -3 d'
_symmetry_Int_Tables_number 230
_symmetry_space_group_name_Hall '-I 4bd 2c 3'
_cell_length_a 15.468
_cell_length_b 15.468
_cell_length_c 15.468
_cell_angle_alpha 90.00
_cell_angle_beta 90.00
_cell_angle_gamma 90.00
loop_
_atom_site_label
_atom_site_type_symbol
_atom_site_fract_x
_atom_site_fract_y
_atom_site_fract_z
Y1 Y 0.031 0.055 0.650
As1 As 0.000 0.250 0.125
C1 C 0.000 0.000 0.000
C2 C 0.000 0.250 0.375

***

# RbFe3Tc | the Alexandria database | PBE-GGA | optimized geometry
# N(E_F) (states/eV/cell): 5.9
# M_tot (μB per atom): 2.1378
# Raw total energy (eV/atom): -4.461
# Energy of formation (eV/f.u.): 14.42
data_RbFe3Tc
_symmetry_space_group_name_H-M 'P m -3 m'
_symmetry_Int_Tables_number 221
_symmetry_space_group_name_Hall '-P 4 2 3'
_cell_length_a 4.581
_cell_length_b 4.581
_cell_length_c 4.581
_cell_angle_alpha 90.00
_cell_angle_beta 90.00
_cell_angle_gamma 90.00
loop_
_atom_site_label
_atom_site_type_symbol
_atom_site_fract_x
_atom_site_fract_y
_atom_site_fract_z
Rb1 Rb 0.000 0.000 0.000
Fe1 Fe 0.000 0.000 0.500
Tc1 Tc 0.500 0.500 0.500

***

# La2CrBr | the Alexandria database | PBE-GGA | optimized geometry
# N(E_F) (states/eV/cell): 4.4
# M_tot (μB per atom): 0.0000
# Raw total energy (eV/atom): -5.308
# ΔE_f (raw) (kJ/mol of formula units): -8
data_La2CrBr
_symmetry_space_group_name_H-M 'I -4 2 d'
_symmetry_Int_Tables_number 122
_symmetry_space_group_name_Hall 'I -4 2bw'
_cell_length_a 7.037
_cell_length_b 7.037
_cell_length_c 9.762
_cell_angle_alpha 90.00
_cell_angle_beta 90.00
_cell_angle_gamma 90.00
loop_
_atom_site_label
_atom_site_type_symbol
_atom_site_fract_x
_atom_site_fract_y
_atom_site_fract_z
La1 La 0.146 0.250 0.125
Cr1 Cr 0.000 0.000 0.000
Br1 Br 0.000 0.000 0.500

***

# Rb2TaAgBr6 | the Alexandria database | PBE-GGA | optimized geometry
# N(E_F) (states/eV/cell): 39.0
# M_tot (μB per atom): 0.2000
# Raw total energy (eV/atom): -3.652
# ΔE_f (raw) (kJ/mol of formula units): -950
data_Rb2TaAgBr6
_symmetry_space_group_name_H-M 'F m -3 m'
_symmetry_Int_Tables_number 225
_symmetry_space_group_name_Hall '-F 4 2 3'
_cell_length_a 10.995
_cell_length_b 10.995
_cell_length_c 10.995
_cell_angle_alpha 90.00
_cell_angle_beta 90.00
_cell_angle_gamma 90.00
loop_
_atom_site_label
_atom_site_type_symbol
_atom_site_fract_x
_atom_site_fract_y
_atom_site_fract_z
Rb1 Rb 0.250 0.250 0.250
Ta1 Ta 0.000 0.000 0.000
Ag1 Ag 0.000 0.000 0.500
Br1 Br 0.000 0.000 0.240

***

# NdPdBr | the Alexandria database | PBE-GGA | optimized geometry
# M_tot (μB per atom): 0.0000
# Raw total energy (eV/atom): -5.110
# ΔE_f (raw) (kJ/mol of formula units): -357
data_NdPdBr
_symmetry_space_group_name_H-M 'R -3 m'
_symmetry_Int_Tables_number 166
_symmetry_space_group_name_Hall '-R 3 2"'
_cell_length_a 4.3505
_cell_length_b 4.3505
_cell_length_c 33.4883
_cell_angle_alpha 90.00
_cell_angle_beta 90.00
_cell_angle_gamma 120.00
loop_
_atom_site_label
_atom_site_type_symbol
_atom_site_fract_x
_atom_site_fract_y
_atom_site_fract_z
Nd1 Nd 0.0000 0.0000 0.0588
Pd1 Pd 0.0000 0.0000 0.3454
Br1 Br 0.0000 0.0000 0.2199

***

# ZrRe2Ag | the Alexandria database | PBE-GGA | optimized geometry
# N(E_F) (states/eV/cell): 7.4
# M_tot (μB per atom): 0.0000
# Raw total energy (eV/atom): -8.701
# Energy of formation (eV/f.u.): 1.49
data_ZrRe2Ag
_symmetry_space_group_name_H-M 'I m m m'
_symmetry_Int_Tables_number 71
_symmetry_space_group_name_Hall '-I 2 2'
_cell_length_a 3.265
_cell_length_b 4.492
_cell_length_c 9.391
_cell_angle_alpha 90.00
_cell_angle_beta 90.00
_cell_angle_gamma 90.00
loop_
_atom_site_label
_atom_site_type_symbol
_atom_site_fract_x
_atom_site_fract_y
_atom_site_fract_z
Zr1 Zr 0.000 0.000 0.000
Re1 Re 0.000 0.500 0.257
Ag1 Ag 0.000 0.000 0.500

***

# Pr4DyMg3 | the Alexandria database | PBE-GGA | optimized geometry
# N(E_F) (states/eV/cell): 10.1
# M_tot (μB per atom): 0.0000
# Raw total energy (eV/atom): -3.609
# Energy of formation (eV/f.u.): -0.37
data_Pr4DyMg3
_symmetry_space_group_name_H-M 'P m m m'
_symmetry_Int_Tables_number 47
_cell_length_a 3.873
_cell_length_b 5.647
_cell_length_c 11.359
_cell_angle_alpha 90.00
_cell_angle_beta 90.00
_cell_angle_gamma 90.00
loop_
_symmetry_equiv_pos_as_xyz
'x,y,z'
'-x,-y,-z'
'-x,-y,z'
'x,y,-z'
'x,-y,-z'
'-x,y,z'
'-x,y,-z'
'x,-y,z'
loop_
_atom_site_label
_atom_site_type_symbol
_atom_site_fract_x
_atom_site_fract_y
_atom_site_fract_z
Pr1 Pr 0.000 0.000 0.000
Pr2 Pr 0.000 0.000 0.500
Pr3 Pr 0.000 0.500 0.240
Dy1 Dy 0.500 0.500 0.500
Mg1 Mg 0.500 0.000 0.250
Mg2 Mg 0.500 0.500 0.000

***

# Rb2CaPaS4 | the Alexandria database | PBE-GGA | optimized geometry
# N(E_F) (states/eV/cell): 5.9
# M_tot (μB per atom): 0.1252
# Raw total energy (eV/atom): -5.392
# ΔE_f (raw) (kJ/mol of formula units): -1273
data_Rb2CaPaS4
_symmetry_space_group_name_H-M 'P 1 2/m 1'
_symmetry_Int_Tables_number 10
_cell_length_a 7.205
_cell_length_b 4.168
_cell_length_c 8.034
_cell_angle_alpha 90.00
_cell_angle_beta 107.35
_cell_angle_gamma 90.00
loop_
_symmetry_equiv_pos_as_xyz
'x,y,z'
'-x,-y,-z'
'-x,y,-z'
'x,-y,z'
loop_
_atom_site_label
_atom_site_type_symbol
_atom_site_fract_x
_atom_site_fract_y
_atom_site_fract_z
Rb1 Rb 0.000 0.000 0.000
Rb2 Rb 0.500 0.500 0.000
Ca1 Ca 0.000 0.500 0.500
Pa1 Pa 0.500 0.000 0.500
S1 S 0.248 0.000 0.692
S2 S 0.280 0.500 0.307

***

# HfTlCl2 | the Alexandria database | PBE-GGA | optimized geometry
# N(E_F) (states/eV/cell): 6.1
# M_tot (μB per atom): 0.0000
# Raw total energy (eV/atom): -4.965
# ΔE_f (raw) (kJ/mol of formula units): -371
data_HfTlCl2
_symmetry_space_group_name_H-M 'R -3 m'
_symmetry_Int_Tables_number 166
_symmetry_space_group_name_Hall '-R 3 2"'
_cell_length_a 3.2848
_cell_length_b 3.2848
_cell_length_c 33.4287
_cell_angle_alpha 90.00
_cell_angle_beta 90.00
_cell_angle_gamma 120.00
loop_
_atom_site_label
_atom_site_type_symbol
_atom_site_fract_x
_atom_site_fract_y
_atom_site_fract_z
Hf1 Hf 0.0000 0.0000 0.0000
Tl1 Tl 0.0000 0.0000 0.5000
Cl1 Cl 0.0000 0.0000 0.3875

***

# KYTe3 | the Alexandria database | PBE-GGA | optimized geometry
# N(E_F) (states/eV/cell): 8.0
# M_tot (μB per atom): 0.0000
# Raw total energy (eV/atom): -3.007
# ΔE_f (raw) (kJ/mol of formula units): 188
data_KYTe3
_symmetry_space_group_name_H-M 'P m -3 m'
_symmetry_Int_Tables_number 221
_symmetry_space_group_name_Hall '-P 4 2 3'
_cell_length_a 5.778
_cell_length_b 5.778
_cell_length_c 5.778
_cell_angle_alpha 90.00
_cell_angle_beta 90.00
_cell_angle_gamma 90.00
loop_
_atom_site_label
_atom_site_type_symbol
_atom_site_fract_x
_atom_site_fract_y
_atom_site_fract_z
K1 K 0.000 0.000 0.000
Y1 Y 0.500 0.500 0.500
Te1 Te 0.000 0.000 0.500

***

# RbFeSe2Br | the Alexandria database | PBE-GGA | optimized geometry
# N(E_F) (states/eV/cell): 5.6
# M_tot (μB per atom): 0.0003
# Raw total energy (eV/atom): -3.962
# ΔE_f (raw) (kJ/mol of formula units): -167
data_RbFeSe2Br
_symmetry_space_group_name_H-M 'P 4/m m m'
_symmetry_Int_Tables_number 123
_symmetry_space_group_name_Hall '-P 4 2'
_cell_length_a 4.674
_cell_length_b 4.674
_cell_length_c 5.852
_cell_angle_alpha 90.00
_cell_angle_beta 90.00
_cell_angle_gamma 90.00
loop_
_atom_site_label
_atom_site_type_symbol
_atom_site_fract_x
_atom_site_fract_y
_atom_site_fract_z
Rb1 Rb 0.000 0.000 0.000
Fe1 Fe 0.500 0.500 0.500
Se1 Se 0.000 0.500 0.500
Br1 Br 0.500 0.500 0.000

***

# LiAs4Os | the Alexandria database | PBE-GGA | optimized geometry
# N(E_F) (states/eV/cell): 19.3
# M_tot (μB per atom): 0.2601
# Raw total energy (eV/atom): -4.514
# Energy of formation (eV/f.u.): 4.66
data_LiAs4Os
_symmetry_space_group_name_H-M 'F -4 3 m'
_symmetry_Int_Tables_number 216
_symmetry_space_group_name_Hall 'F -4 2 3'
_cell_length_a 7.649
_cell_length_b 7.649
_cell_length_c 7.649
_cell_angle_alpha 90.00
_cell_angle_beta 90.00
_cell_angle_gamma 90.00
loop_
_atom_site_label
_atom_site_type_symbol
_atom_site_fract_x
_atom_site_fract_y
_atom_site_fract_z
Li1 Li 0.000 0.000 0.000
As1 As 0.125 0.125 0.375
Os1 Os 0.250 0.250 0.750